AcCoTcO6: relaxed, PBE+U.

POSCAR file:
```
AcCoTcO6
1.0
5.142 0.000 0.000
-2.571 4.453 0.000
0.000 0.000 5.291
Ac Co Tc O
1 1 1 6
Cartesian
0.000 0.000 0.000
0.000 2.969 2.646
2.571 1.484 2.646
-0.981 1.733 3.723
-1.560 2.737 1.568
0.981 1.733 1.568
-0.579 4.436 3.723
1.560 2.737 3.723
0.579 4.436 1.568
```

As for the density of states at the Fermi level: 1.7 states/eV per cell. The value obtained for the uncorrected energy is -65.86 eV/cell. For the magnetic moment, the calculation gives 1.0 Bohr magnetons per cell.